Entry 1:
{"formula": "SiBiTe2Rh", "functional": "GGA-PBE", "state": "relaxed", "formation_energy_uncorrected_ev_per_atom": 0.949, "total_energy_ev_per_atom": -3.6388, "rho_g_cm3": 7.067, "n_ef_per_ev_fu": 4.8, "lattice_angstrom": [[5.138, 0.000, 0.000], [0.000, 5.138, 0.000], [0.000, 0.000, 5.296]], "species": ["Si", "Bi", "Te", "Te", "Rh"], "frac_coords": [[0.000, 0.000, 0.000], [0.000, 0.000, 0.500], [0.000, 0.500, 0.000], [0.500, 0.000, 0.000], [0.500, 0.500, 0.500]]}

---

Entry 2:
{"formula": "Sm2BiRh2", "functional": "GGA-PBE", "state": "relaxed", "total_energy_ev_per_atom": -6.3267, "rho_g_cm3": 10.283, "n_ef_per_ev_fu": 2.5, "e_form_mev_per_atom": -722, "lattice_angstrom": [[-2.297, 2.994, 4.201], [2.297, -2.994, 4.201], [2.297, 2.994, -4.201]], "species": ["Sm", "Sm", "Bi", "Rh", "Rh"], "frac_coords": [[0.206, 0.206, 0.000], [0.794, 0.794, 0.000], [0.500, 0.000, 0.500], [0.220, 0.500, 0.720], [0.780, 0.500, 0.280]]}

---

Entry 3:
{"formula": "Sm5BiRh2", "functional": "GGA-PBE", "state": "relaxed", "total_energy_ev_per_atom": -5.9348, "rho_g_cm3": 8.834, "n_ef_per_ev_fu": 7.5, "e_form_mev_per_atom": -662, "lattice_angstrom": [[-3.999, 3.999, 6.856], [3.999, -3.999, 6.856], [3.999, 3.999, -6.856]], "species": ["Sm", "Sm", "Sm", "Sm", "Sm", "Sm", "Sm", "Sm", "Sm", "Sm", "Bi", "Bi", "Rh", "Rh", "Rh", "Rh"], "frac_coords": [[0.000, 0.000, 0.000], [0.022, 0.522, 0.813], [0.209, 0.022, 0.500], [0.291, 0.791, 0.813], [0.478, 0.291, 0.500], [0.500, 0.500, 0.000], [0.522, 0.709, 0.500], [0.709, 0.209, 0.187], [0.791, 0.978, 0.500], [0.978, 0.478, 0.187], [0.250, 0.250, 0.000], [0.750, 0.750, 0.000], [0.140, 0.360, 0.500], [0.360, 0.860, 0.220], [0.640, 0.140, 0.780], [0.860, 0.640, 0.500]]}